1.
A plane-wave DFT calculation with PBE was carried out for a relaxed structure of CsHfO2.

Structure (extended XYZ):
```
4
Lattice="1.964 0.000 7.489 -0.982 1.701 7.489 -0.982 -1.701 7.489" Properties=species:S:1:pos:R:3 pbc="T T T"
O 0.000 0.000 2.855
O 0.000 0.000 19.611
Cs 0.000 0.000 0.000
Hf 0.000 0.000 11.233
```

Summary:
As for the total magnetization: 0.00 μB per formula unit. The calculation puts the raw formation energy at -2.17 eV per atom. As for the density of states at the Fermi level: 2.211 states/eV per cell. As for the total energy: -7.354 eV/atom. The symmetry is R-3m (166).

2.
A plane-wave DFT calculation with PBE was carried out for a relaxed structure of CdHg2.

Structure (extended XYZ):
```
6
Lattice="3.532 0.000 0.000 -1.766 3.059 0.000 0.000 0.000 13.980" Properties=species:S:1:pos:R:3 pbc="T T T"
Cd 1.766 1.020 13.933
Cd 0.000 2.039 6.943
Hg 1.766 1.020 4.623
Hg 0.000 2.039 11.613
Hg 0.000 0.000 2.259
Hg 0.000 0.000 9.249
```

Summary:
As for the total magnetization: 0.00 μB per formula unit. As for the density of states at the Fermi level: 2.182 states/eV per cell. As for the total energy: -0.475 eV/atom. The symmetry is P6_3mc (186). As for the calculated formation energy: 31.0 meV/atom.